Record 1
Material: Y2NbPd2
Method: DFT, PBE
State: optimized geometry

Unit cell a=7.0443 b=7.0443 c=4.4341 alpha=90.00 beta=90.00 gamma=90.00
With the nearest neighbours (Å) after each atom.
Sites, in units of the cell vectors:
Y 0.1733 0.3267 0.0000  6 Pd 2.91-3.13
Y 0.3267 0.8267 0.0000  6 Pd 2.91-3.13
Y 0.6733 0.1733 0.0000  6 Pd 2.91-3.13
Y 0.8267 0.6733 0.0000  6 Pd 2.91-3.13
Nb 0.0000 0.0000 0.5000  4 Pd 2.73
Nb 0.5000 0.5000 0.5000  4 Pd 2.73
Pd 0.1376 0.6376 0.5000  2 Nb 2.73, 1 Pd 2.74, 2 Y 2.91
Pd 0.3624 0.1376 0.5000  2 Nb 2.73, 1 Pd 2.74, 2 Y 2.91
Pd 0.6376 0.8624 0.5000  2 Nb 2.73, 1 Pd 2.74, 2 Y 2.91
Pd 0.8624 0.3624 0.5000  2 Nb 2.73, 1 Pd 2.74, 2 Y 2.91

Computed properties:
ΔE to the lowest computed polymorph, meV per atom: 0
Total moment, μB per formula unit: 0.0
E, eV/cell: -70.98
Formation energy, eV per atom: -0.421

---

Record 2
Material: CsAgPd
Method: DFT, PBE
State: optimized geometry

Unit cell a=4.6197 b=4.6197 c=5.4579 alpha=90.00 beta=90.00 gamma=120.00
With the nearest neighbours (Å) after each atom.
Sites, in units of the cell vectors:
Cs 0.0000 0.0000 0.0000  6 Ag 3.82, 6 Pd 3.82
Ag 0.6667 0.3333 0.5000  3 Pd 2.67
Pd 0.3333 0.6667 0.5000  3 Ag 2.67

Computed properties:
ΔE to the lowest computed polymorph, meV per atom: 81
Total moment, μB per formula unit: 0.0
E, eV/cell: -8.39
Formation energy, eV per atom: 0.171

---

Record 3
Material: CaTcBi2O
Method: DFT, PBE
State: optimized geometry

Unit cell a=4.9978 b=4.9978 c=4.3871 alpha=90.00 beta=90.00 gamma=90.00
With the nearest neighbours (Å) after each atom.
Sites, in units of the cell vectors:
Ca 0.0000 0.0000 0.0000  2 O 2.19
Tc 0.5000 0.5000 0.0000  8 Bi 3.33, 4 Ca 3.53
Bi 0.0000 0.5000 0.5000  2 O 2.50
Bi 0.5000 0.0000 0.5000  2 O 2.50
O 0.0000 0.0000 0.5000  2 Ca 2.19

Computed properties:
Energy relative to the elements, uncorrected, eV/atom: -0.2234
Total moment, μB per formula unit: 2.4
E, eV/cell: -26.20

---

Record 4
Material: UV2C
Method: DFT, PBE
State: optimized geometry

Unit cell a=7.7492 b=7.7492 c=7.7492 alpha=21.60 beta=21.60 gamma=21.60
With the nearest neighbours (Å) after each atom.
Sites, in units of the cell vectors:
U 0.0000 0.0000 0.0000  2 V 2.66, 6 U 2.90
V 0.1172 0.1172 0.1172  3 C 2.02
V 0.8828 0.8828 0.8828  3 C 2.02
C 0.5000 0.5000 0.5000  6 V 2.02

Computed properties:
ΔE to the lowest computed polymorph, meV per atom: 0
Total moment, μB per formula unit: 0.8
E, eV/cell: -38.62
Formation energy, eV per atom: 0.033

---

Record 5
Material: Pr4Sm3Te8
Method: DFT, PBE
State: optimized geometry

Unit cell a=8.9462 b=8.9462 c=8.9424 alpha=119.97 beta=119.97 gamma=90.01
With the nearest neighbours (Å) after each atom.
Sites, in units of the cell vectors:
Pr 0.0000 0.0000 0.0000  6 Te 3.19
Pr 0.0000 0.5000 0.0000  6 Te 3.16-3.17
Pr 0.5000 0.0000 0.0000  6 Te 3.16-3.17
Pr 0.5000 0.5000 0.5000  6 Te 3.26
Sm 0.0000 0.5000 0.5000  6 Te 3.16
Sm 0.5000 0.0000 0.5000  6 Te 3.16
Sm 0.5000 0.5000 0.0000  6 Te 3.14
Te 0.2426 0.7574 0.5000  2 Sm 3.16, 3 Pr 3.17-3.26
Te 0.2447 0.2447 0.5044  3 Sm 3.14-3.16, 2 Pr 3.19-3.26
Te 0.2448 0.2448 0.9851  1 Sm 3.14, 4 Pr 3.16-3.26
Te 0.2522 0.7478 0.0000  3 Sm 3.14-3.16, 3 Pr 3.16-3.19
Te 0.7478 0.2522 0.0000  3 Sm 3.14-3.16, 3 Pr 3.16-3.19
Te 0.7552 0.7552 0.0149  1 Sm 3.14, 4 Pr 3.16-3.26
Te 0.7553 0.7553 0.4956  3 Sm 3.14-3.16, 2 Pr 3.19-3.26
Te 0.7574 0.2426 0.5000  2 Sm 3.16, 3 Pr 3.17-3.26

Computed properties:
Energy relative to the elements, uncorrected, eV/atom: -1.4526
Total moment, μB per formula unit: 0.0
E, eV/cell: -80.20

---

Record 6
Material: Li2CaZn
Method: DFT, PBE
State: optimized geometry

Unit cell a=5.0392 b=5.0392 c=5.0392 alpha=60.00 beta=60.00 gamma=60.00
With the nearest neighbours (Å) after each atom.
Sites, in units of the cell vectors:
Li 0.0000 0.0000 0.0000  4 Li 3.09, 4 Ca 3.09
Li 0.2500 0.2500 0.2500  4 Li 3.09, 4 Zn 3.09
Ca 0.7500 0.7500 0.7500  4 Zn 3.09, 4 Li 3.09
Zn 0.5000 0.5000 0.5000  4 Li 3.09, 4 Ca 3.09

Computed properties:
Total moment, μB per formula unit: 0.0
E, eV/cell: -7.31
Formation energy, eV per atom: -0.051